{"formula": "Ba2Cd4GaPb3", "functional": "PBE", "state": "optimized geometry", "dft_energy_ev_per_atom": -2.47, "ef_ev_per_atom": -0.30, "crystal_system": "tetragonal", "cell": [[-4.354, -0.655, -2.312], [2.401, -0.963, -4.248], [0.282, -12.144, 2.912]], "species": ["Pb", "Ba", "Ga", "Cd", "Cd", "Cd", "Pb", "Ba", "Pb", "Cd"], "frac_coords": [[0.000, 0.500, 0.140], [0.000, 0.500, 0.746], [0.500, 0.500, 0.500], [0.500, 0.500, 0.000], [0.000, 0.000, 0.000], [0.000, 0.500, 0.374], [0.500, 0.000, 0.860], [0.500, 0.000, 0.254], [0.000, 0.000, 0.500], [0.500, 0.000, 0.626]]}